Density functional theory data (PBE) for a geometry-optimized Ba3ZnRu structure.

Results
magnetization = 0.0 Bohr magnetons per cell
energy above the lowest structure with this stoichiometry = 0.0 meV per atom
VASP energy = -15.09 eV/cell
DOS at the Fermi energy = 3.290 states/eV/f.u.
volume = 41.32 A^3/atom
formation energy = 246 meV/atom

Unit cell a=5.9118 b=5.9118 c=5.9118 alpha=90.00 beta=90.00 gamma=90.00
Positions (direct):
Ru 0.0000 0.0000 0.0000
Ba 0.0000 0.5000 0.0000
Zn 0.5000 0.5000 0.5000
Ba 0.0000 0.0000 0.5000
Ba 0.5000 0.0000 0.0000